1.
First-principles (PBE) data for Ac12HoSn7 after structural relaxation, as listed in Alexandria via LeMat-Bulk.

abc: 10.231 10.231 10.231
angles: 107.44 107.44 107.44
Positions (direct):
Ac1 0.025 0.112 0.352
Ac2 0.112 0.352 0.025
Ac3 0.189 0.580 0.732
Ac4 0.268 0.811 0.420
Ac5 0.352 0.025 0.112
Ac6 0.420 0.268 0.811
Ac7 0.580 0.732 0.189
Ac8 0.648 0.975 0.888
Ac9 0.732 0.189 0.580
Ac10 0.811 0.420 0.268
Ac11 0.888 0.648 0.975
Ac12 0.975 0.888 0.648
Ho1 0.500 0.500 0.500
Sn1 0.000 0.000 0.000
Sn2 0.164 0.462 0.384
Sn3 0.384 0.164 0.462
Sn4 0.462 0.384 0.164
Sn5 0.538 0.616 0.836
Sn6 0.616 0.836 0.538
Sn7 0.836 0.538 0.616

Computed properties:
- Raw total energy: -0.32070 Ry per atom

---

2.
First-principles (PBE) data for Ac3HoSn5 after structural relaxation, as listed in Alexandria via LeMat-Bulk.

abc: 9.954 9.954 6.739
angles: 90.00 90.00 120.00
Positions (direct):
Ac1 0.000 0.383 0.250
Ac2 0.000 0.617 0.750
Ac3 0.383 0.000 0.250
Ac4 0.383 0.383 0.750
Ac5 0.617 0.000 0.750
Ac6 0.617 0.617 0.250
Ho1 0.000 0.000 0.000
Ho2 0.000 0.000 0.500
Sn1 0.000 0.273 0.750
Sn2 0.000 0.727 0.250
Sn3 0.273 0.000 0.750
Sn4 0.273 0.273 0.250
Sn5 0.333 0.667 0.000
Sn6 0.333 0.667 0.500
Sn7 0.667 0.333 0.000
Sn8 0.667 0.333 0.500
Sn9 0.727 0.000 0.250
Sn10 0.727 0.727 0.750

Computed properties:
- Raw total energy: -0.34682 Ry per atom